The following is a DFT calculation (GGA-PBE) of an optimized crystal structure of NiAgSe.

The calculated volume comes out at 52.88 Å³/f.u. As for the crystal system: cubic. For the energy above the most stable polymorph in this dataset, the calculation gives 0.101 eV/atom. The calculation puts the uncorrected formation energy at 0.08 eV/atom.

The space group is F-43m (No. 216) and the conventional cell measures 5.958, 5.958 and 5.958 Å, with angles of 90.00, 90.00 and 90.00 degrees. The distinct sites, in fractional coordinates, are Ni at (0.000, 0.000, 0.000), Ag at (0.250, 0.250, 0.250) and Se at (0.250, 0.250, 0.750).

=====

The following is a DFT calculation (GGA-PBE) of an optimized crystal structure of PaAlGaO.

The calculated volume comes out at 66.84 Å³/f.u. As for the crystal system: tetragonal. The calculation puts the uncorrected formation energy at -1.46 eV/atom.

The space group is P4/nmm (No. 129, origin choice 2) and the conventional cell measures 3.996, 3.996 and 8.372 Å, with angles of 90.00, 90.00 and 90.00 degrees. The distinct sites, in fractional coordinates, are Pa at (0.250, 0.250, 0.154), Al at (0.250, 0.750, 0.500), Ga at (0.250, 0.250, 0.698) and O at (0.250, 0.750, 0.000).

=====

The following is a DFT calculation (GGA-PBE) of an optimized crystal structure of Tl3CuTe6As2.

The calculated volume comes out at 354.46 Å³/f.u. As for the crystal system: monoclinic. The calculation puts the uncorrected formation energy at -0.09 eV/atom.

The space group is C2/m (No. 12) and the conventional cell measures 7.354, 12.702 and 7.960 Å, with angles of 90.00, 107.57 and 90.00 degrees. The distinct sites, in fractional coordinates, are Tl at (0.000, 0.000, 0.000), Tl at (0.000, 0.322, 0.000), Cu at (0.000, 0.500, 0.500), Te at (0.226, 0.341, 0.701), Te at (0.248, 0.000, 0.706) and As at (0.000, 0.164, 0.500).

=====

The following is a DFT calculation (GGA-PBE) of an optimized crystal structure of SrTl4Au2.

The calculated volume comes out at 201.74 Å³/f.u. As for the crystal system: orthorhombic. The calculation puts the energy of formation at -0.247 eV/atom. For the energy above the most stable polymorph in this dataset, the calculation gives 0.010 eV/atom.

The space group is Cmmm (No. 65) and the conventional cell measures 4.415, 19.150 and 4.772 Å, with angles of 90.00, 90.00 and 90.00 degrees. The distinct sites, in fractional coordinates, are Sr at (0.000, 0.000, 0.000), Tl at (0.000, 0.181, 0.500), Tl at (0.000, 0.324, 0.000) and Au at (0.000, 0.429, 0.500).

=====

The following is a DFT calculation (GGA-PBE) of an optimized crystal structure of La6InRh.

The calculated volume comes out at 255.71 Å³/f.u. As for the crystal system: orthorhombic. The calculation puts the energy of formation at -0.260 eV/atom. For the energy above the most stable polymorph in this dataset, the calculation gives 0.000 eV/atom.

The space group is Amm2 (No. 38) and the conventional cell measures 5.083, 9.405 and 10.698 Å, with angles of 90.00, 90.00 and 90.00 degrees. The distinct sites, in fractional coordinates, are La at (0.000, 0.000, 0.000), La at (0.000, 0.175, 0.301), La at (0.500, 0.000, 0.809), La at (0.500, 0.224, 0.547), In at (0.000, 0.000, 0.606) and Rh at (0.500, 0.000, 0.159).

=====

The following is a DFT calculation (GGA-PBE) of an optimized crystal structure of CeTh4As6.

The calculated volume comes out at 287.20 Å³/f.u. As for the crystal system: trigonal. The calculation puts the energy of formation at -1.176 eV/atom.

The space group is R-3c (No. 167, hexagonal axes) and the conventional cell measures 11.7316, 11.7316 and 14.4575 Å, with angles of 90.00, 90.00 and 120.00 degrees. The distinct sites, in fractional coordinates, are Ce at (0.0000, 0.0000, 0.0000), Th at (0.0000, 0.0000, 0.2500), Th at (0.0000, 0.3853, 0.2500) and As at (0.0303, 0.2097, 0.3850).

=====

The following is a DFT calculation (GGA-PBE) of an optimized crystal structure of Rb2UBi2S6.

The calculated volume comes out at 345.92 Å³/f.u. As for the crystal system: monoclinic. The calculation puts the uncorrected formation energy at -0.96 eV/atom.

The space group is C2/m (No. 12) and the conventional cell measures 7.141, 12.287 and 8.262 Å, with angles of 90.00, 107.38 and 90.00 degrees. The distinct sites, in fractional coordinates, are Rb at (0.000, 0.171, 0.000), U at (0.000, 0.000, 0.500), Bi at (0.000, 0.332, 0.500), S at (0.225, 0.161, 0.691) and S at (0.248, 0.000, 0.310).

=====

The following is a DFT calculation (GGA-PBE) of an optimized crystal structure of NbTcI2N.

The calculated volume comes out at 129.73 Å³/f.u. As for the crystal system: tetragonal. For the energy above the most stable polymorph in this dataset, the calculation gives 0.033 eV/atom. The calculation puts the uncorrected formation energy at 0.84 eV/atom.

The space group is P4/mmm (No. 123) and the conventional cell measures 5.756, 5.756 and 3.916 Å, with angles of 90.00, 90.00 and 90.00 degrees. The distinct sites, in fractional coordinates, are Nb at (0.000, 0.000, 0.000), Tc at (0.500, 0.500, 0.500), I at (0.000, 0.500, 0.000) and N at (0.000, 0.000, 0.500).

=====

The following is a DFT calculation (GGA-PBE) of an optimized crystal structure of PSe.

The calculated volume comes out at 45.69 Å³/f.u. As for the crystal system: tetragonal. For the energy above the most stable polymorph in this dataset, the calculation gives 0.205 eV/atom. The calculation puts the uncorrected formation energy at 0.13 eV/atom.

The space group is P4/nmm (No. 129, origin choice 2) and the conventional cell measures 3.402, 3.402 and 7.894 Å, with angles of 90.00, 90.00 and 90.00 degrees. The distinct sites, in fractional coordinates, are P at (0.250, 0.250, 0.032) and Se at (0.250, 0.250, 0.307).

=====

The following is a DFT calculation (GGA-PBE) of an optimized crystal structure of Zr2FeSe.

The calculated volume comes out at 72.36 Å³/f.u. As for the crystal system: cubic. The calculation puts the uncorrected formation energy at 0.22 eV/atom.

The space group is F-43m (No. 216) and the conventional cell measures 6.615, 6.615 and 6.615 Å, with angles of 90.00, 90.00 and 90.00 degrees. The distinct sites, in fractional coordinates, are Zr at (0.000, 0.000, 0.000), Zr at (0.250, 0.250, 0.250), Fe at (0.250, 0.250, 0.750) and Se at (0.000, 0.000, 0.500).

=====

The following is a DFT calculation (GGA-PBE) of an optimized crystal structure of TbNd4Ag.

The calculated volume comes out at 194.98 Å³/f.u. As for the crystal system: orthorhombic. The calculation puts the energy of formation at 0.037 eV/atom. For the energy above the most stable polymorph in this dataset, the calculation gives 0.103 eV/atom.

The space group is Cmc2_1 (No. 36) and the conventional cell measures 5.502, 21.562 and 6.574 Å, with angles of 90.00, 90.00 and 90.00 degrees. The distinct sites, in fractional coordinates, are Tb at (0.000, 0.132, 0.000), Nd at (0.000, 0.065, 0.503), Nd at (0.000, 0.253, 0.611), Nd at (0.000, 0.330, 0.152), Nd at (0.000, 0.470, 0.339) and Ag at (0.000, 0.391, 0.728).

=====

The following is a DFT calculation (GGA-PBE) of an optimized crystal structure of Ac2Pr4Ho3.

The calculated volume comes out at 326.33 Å³/f.u. As for the crystal system: monoclinic. The calculation puts the energy of formation at 0.043 eV/atom. For the energy above the most stable polymorph in this dataset, the calculation gives 0.000 eV/atom.

The space group is C2/m (No. 12) and the conventional cell measures 11.775, 5.270 and 11.103 Å, with angles of 90.00, 108.69 and 90.00 degrees. The distinct sites, in fractional coordinates, are Ac at (0.167, 0.000, 0.226), Pr at (0.003, 0.500, 0.337), Pr at (0.166, 0.000, 0.888), Ho at (0.000, 0.500, 0.000) and Ho at (0.163, 0.000, 0.554).

=====

Q: Among the records above, which one has the highest calculated volume?
A: Tl3CuTe6As2

=====

Q: The lowest calculated volume belongs to which entry?
A: PSe